This record from the Alexandria database describes a relaxed structure of Ba3Mn2WO9. The functional is PBE with a Hubbard U.

Unit cell a=5.791 b=5.791 c=7.131 alpha=90.00 beta=90.00 gamma=120.00
Last column: magnetic moment on the atom in μB.
Sites, in units of the cell vectors:
O  0.840  0.160  0.658  -0.01
Mn  0.667  0.333  0.845  4.06
O  0.840  0.680  0.658  -0.01
O  0.680  0.840  0.342  -0.01
O  0.500  0.500  0.000  -0.12
W  0.000  0.000  0.500  0.05
O  0.320  0.160  0.658  -0.01
Ba  0.000  0.000  0.000  0.01
Mn  0.333  0.667  0.155  4.06
O  0.160  0.840  0.342  -0.01
Ba  0.333  0.667  0.677  0.00
Ba  0.667  0.333  0.323  0.00
O  0.000  0.500  0.000  -0.12
O  0.500  0.000  0.000  -0.12
O  0.160  0.320  0.342  -0.01

Computed properties:
The value obtained for the density of states at the Fermi level is 0.99 states/eV/cell. For the total energy, the calculation gives -7.148 eV per atom. For the volume, the calculation gives 207.1 Å³/cell. The size of the total moment comes out at 8.00 Bohr magnetons per cell.